(1)
KCuIN2 at its PBEsol-relaxed geometry. Source: the Alexandria database, functional SCAN.

Output
DOS(E_F) in states/eV/f.u.: 1.10
V in Å³/atom: 19.999
Uncorrected formation energy in eV/atom: 0.97
Space-group type: P4/mmm

Structure (CIF):
```
data_KCuIN2
_cell_length_a 4.237
_cell_length_b 4.237
_cell_length_c 5.570
_cell_angle_alpha 90.00
_cell_angle_beta 90.00
_cell_angle_gamma 90.00
_space_group_name_H-M_alt 'P 1'
_space_group_IT_number 1
loop_
_space_group_symop_operation_xyz
'x,y,z'
loop_
_atom_site_label
_atom_site_type_symbol
_atom_site_fract_x
_atom_site_fract_y
_atom_site_fract_z
K1 K 0.000 0.000 0.000
Cu1 Cu 0.500 0.500 0.500
I1 I 0.500 0.500 0.000
N1 N 0.000 0.500 0.500
N2 N 0.500 0.000 0.500
```

---

(2)
K2CuSbI6 at its PBEsol-relaxed geometry. Source: the Alexandria database, functional SCAN.

Output
DOS(E_F) in states/eV/f.u.: 0.84
V in Å³/atom: 37.905
Uncorrected formation energy in eV/atom: -0.73
Space-group type: Fm-3m

Structure (CIF):
```
data_K2CuSbI6
_cell_length_a 8.123
_cell_length_b 8.123
_cell_length_c 8.123
_cell_angle_alpha 60.00
_cell_angle_beta 60.00
_cell_angle_gamma 60.00
_space_group_name_H-M_alt 'P 1'
_space_group_IT_number 1
loop_
_space_group_symop_operation_xyz
'x,y,z'
loop_
_atom_site_label
_atom_site_type_symbol
_atom_site_fract_x
_atom_site_fract_y
_atom_site_fract_z
K1 K 0.250 0.250 0.250
K2 K 0.750 0.750 0.750
Cu1 Cu 0.000 0.000 0.000
Sb1 Sb 0.500 0.500 0.500
I1 I 0.240 0.240 0.760
I2 I 0.240 0.760 0.240
I3 I 0.240 0.760 0.760
I4 I 0.760 0.240 0.240
I5 I 0.760 0.240 0.760
I6 I 0.760 0.760 0.240
```

---

Among the records above, which one has the lowest uncorrected formation energy?
K2CuSbI6

---

Number 2 is which compound?
K2CuSbI6

---

Number 2 is which compound?
K2CuSbI6

---

The lowest uncorrected formation energy belongs to which entry?
K2CuSbI6